(1)
First-principles (PBE) data for crystalline SnWSe2 at its relaxed geometry, as listed in Alexandria via LeMat-Bulk.

abc: 9.7586 9.7586 9.7586
angles: 19.65 19.65 19.65
With the nearest neighbours (Å) after each atom.
Atoms (fractional coordinates):
Se: 0.8929 0.8929 0.8929  3 W 2.57
Se: 0.1071 0.1071 0.1071  3 W 2.57
Sn: 0.0000 0.0000 0.0000  2 Se 3.07, 6 Sn 3.33
W: 0.5000 0.5000 0.5000  6 Se 2.57

Calculated values
Calculated total energy   -6.129 eV per atom
Density of states at the Fermi level   0.617 states/eV/atom

(2)
First-principles (PBE) data for crystalline Pr4SiHI2 at its relaxed geometry, as listed in Alexandria via LeMat-Bulk.

abc: 4.1599 7.1651 8.1501
angles: 106.12 90.00 90.00
With the nearest neighbours (Å) after each atom.
Atoms (fractional coordinates):
Pr: 0.5000 0.2538 0.1838  1 H 2.61, 2 Si 2.89
Pr: 0.5000 0.7462 0.8162  1 H 2.61, 2 Si 2.89
Pr: 0.0000 0.2760 0.8036  2 H 2.84, 1 Si 2.87
Pr: 0.0000 0.7240 0.1964  2 H 2.84, 1 Si 2.87
Si: 0.0000 0.0000 0.0000  6 Pr 2.87-2.89
H: 0.5000 0.5000 0.0000  6 Pr 2.61-2.84
I: 0.5000 0.0000 0.5000  6 Pr 3.41-3.54
I: 0.0000 0.5000 0.5000  6 Pr 3.30-3.40

Calculated values
Calculated total energy   -4.600 eV per atom
Density of states at the Fermi level   0.573 states/eV/atom

(3)
First-principles (PBE) data for crystalline ThGe2Pd4 at its relaxed geometry, as listed in Alexandria via LeMat-Bulk.

abc: 4.4393 4.4099 6.9041
angles: 108.62 90.00 90.00
With the nearest neighbours (Å) after each atom.
Atoms (fractional coordinates):
Th: 0.0000 0.0000 0.0000  8 Pd 3.21-3.23, 8 Ge 3.37
Ge: 0.5000 0.5951 0.1902  4 Pd 2.47, 1 Ge 2.49
Ge: 0.5000 0.4049 0.8098  4 Pd 2.47, 1 Ge 2.49
Pd: 0.5000 0.8206 0.6412  2 Ge 2.47
Pd: 0.0000 0.6779 0.3559  2 Ge 2.47
Pd: 0.5000 0.1794 0.3588  2 Ge 2.47
Pd: 0.0000 0.3221 0.6441  2 Ge 2.47

Calculated values
ΔE_f   -0.659 eV/atom
Calculated total energy   -6.006 eV per atom
Density of states at the Fermi level   0.701 states/eV/atom
Relative energy among the computed polymorphs   23 meV per atom